Entry from Alexandria: an optimized crystal structure of ScTl2Re3O12 (PBE-GGA).

Cell lengths 7.444, 7.444, 7.444 Å; angles 59.06, 59.06, 59.06 degrees
Each line ends with the local moment (μB).
Fractional coordinates of all 18 atoms:
1 Sc 0.000 0.000 0.000  0.00
2 Tl 0.608 0.608 0.608  0.00
3 Tl 0.392 0.392 0.392  0.00
4 Re 0.500 0.000 0.000  0.19
5 Re 0.000 0.500 0.000  0.19
6 Re 0.000 0.000 0.500  0.19
7 O 0.311 0.311 0.932  0.03
8 O 0.939 0.939 0.331  -0.01
9 O 0.331 0.939 0.939  -0.01
10 O 0.932 0.311 0.311  0.03
11 O 0.939 0.331 0.939  -0.01
12 O 0.311 0.932 0.311  0.03
13 O 0.689 0.689 0.068  0.03
14 O 0.061 0.061 0.669  -0.01
15 O 0.669 0.061 0.061  -0.01
16 O 0.068 0.689 0.689  0.03
17 O 0.061 0.669 0.061  -0.01
18 O 0.689 0.068 0.689  0.03

raw total energy	-138.46	eV/cell
formation energy (no corrections)	-1697.4	meV per atom
D(E_F)	0.32	states/eV per atom
space-group type	R-3m (166)
total moment	0.04	μB/atom

---

Entry from Alexandria: an optimized crystal structure of DyHPb2 (PBE-GGA).

Cell lengths 3.749, 3.677, 8.146 Å; angles 81.30, 76.70, 59.35 degrees
Fractional coordinates of all 4 atoms:
1 Dy 0.129 0.910 0.832
2 H 0.471 0.234 0.823
3 Pb 0.950 0.602 0.497
4 Pb 0.660 0.516 0.165

raw total energy	-16.34	eV/cell
D(E_F)	0.65	states/eV per atom
space-group type	Cm (8)
total moment	0.00	μB/atom

---

Entry from Alexandria: an optimized crystal structure of AgAs2 (PBE-GGA).

Cell lengths 9.767, 7.910, 6.062 Å; angles 87.65, 54.02, 38.33 degrees
Fractional coordinates of all 6 atoms:
1 Ag 0.369 0.631 0.369
2 Ag 0.631 0.369 0.631
3 As 0.741 0.958 0.042
4 As 0.042 0.259 0.741
5 As 0.259 0.042 0.958
6 As 0.958 0.741 0.259

ΔE_f	17.0	kJ per mole of atoms
raw total energy	-23.24	eV/cell
D(E_F)	0.21	states/eV per atom
space-group type	Fmmm (69)
total moment	0.00	μB/atom

---

Entry from Alexandria: an optimized crystal structure of NdEuPt (PBE-GGA).

Cell lengths 4.245, 4.245, 6.594 Å; angles 90.00, 90.00, 120.00 degrees
Each line ends with the local moment (μB).
Fractional coordinates of all 3 atoms:
1 Eu 0.000 0.000 0.089  6.86
2 Nd 0.333 0.667 0.566  0.05
3 Pt 0.667 0.333 0.344  -0.02

ΔE_f	-67.2	kJ per mole of atoms
energy relative to the lowest polymorph listed for this composition	0.54	kcal/mol of atoms
raw total energy	-23.17	eV/cell
D(E_F)	3.49	states/eV per atom
space-group type	P3m1 (156)
total moment	2.43	μB/atom

---

Entry from Alexandria: an optimized crystal structure of Ba4Bi3O10 (PBE-GGA).

Cell lengths 4.431, 4.431, 15.951 Å; angles 97.98, 97.98, 90.00 degrees
Fractional coordinates of all 17 atoms:
1 Ba 0.569 0.569 0.139
2 Ba 0.431 0.431 0.861
3 Ba 0.296 0.296 0.592
4 Ba 0.704 0.704 0.408
5 Bi 0.143 0.143 0.286
6 Bi 0.857 0.857 0.714
7 Bi 0.000 0.000 0.000
8 O 0.142 0.642 0.283
9 O 0.071 0.071 0.141
10 O 0.642 0.142 0.283
11 O 0.858 0.358 0.717
12 O 0.358 0.858 0.717
13 O 0.929 0.929 0.859
14 O 0.214 0.214 0.428
15 O 0.786 0.786 0.572
16 O 0.000 0.500 0.000
17 O 0.500 0.000 0.000

raw total energy	-101.09	eV/cell
formation energy (no corrections)	-1892.8	meV per atom
D(E_F)	0.15	states/eV per atom
space-group type	I4/mmm (139)
total moment	0.00	μB/atom

---

Entry from Alexandria: an optimized crystal structure of Cr3AsN (PBE-GGA).

Cell lengths 4.784, 4.784, 4.784 Å; angles 90.00, 90.00, 90.00 degrees
Each line ends with the local moment (μB).
Fractional coordinates of all 5 atoms:
1 Cr 0.000 0.500 0.000  3.86
2 Cr 0.000 0.000 0.500  4.04
3 Cr 0.500 0.000 0.000  3.83
4 As 0.000 0.000 0.000  -0.13
5 N 0.500 0.500 0.500  -1.04

energy relative to the lowest polymorph listed for this composition	45.53	kcal/mol of atoms
raw total energy	-33.62	eV/cell
formation energy (no corrections)	1645.6	meV per atom
D(E_F)	0.26	states/eV per atom
space-group type	Pm-3m (221)
total moment	2.37	μB/atom

---

Entry from Alexandria: an optimized crystal structure of Tc2I8Br (PBE-GGA).

Cell lengths 8.804, 10.292, 10.292 Å; angles 49.99, 51.37, 51.37 degrees
Each line ends with the local moment (μB).
Fractional coordinates of all 11 atoms:
1 Tc 0.583 0.209 0.209  1.71
2 Tc 0.417 0.791 0.791  1.71
3 I 0.276 0.556 0.168  -0.01
4 I 0.724 0.832 0.444  -0.01
5 I 0.413 0.133 0.133  0.14
6 I 0.587 0.867 0.867  0.14
7 I 0.276 0.168 0.556  -0.01
8 I 0.724 0.444 0.832  -0.01
9 I 0.792 0.264 0.264  0.14
10 I 0.208 0.736 0.736  0.14
11 Br 0.000 0.000 0.000  -0.05

raw total energy	-34.36	eV/cell
formation energy (no corrections)	40.9	meV per atom
D(E_F)	0.60	states/eV per atom
space-group type	C2/m (12)
total moment	0.43	μB/atom

---

Entry from Alexandria: an optimized crystal structure of ReAsPb2F (PBE-GGA).

Cell lengths 5.478, 3.955, 5.478 Å; angles 90.00, 90.00, 90.00 degrees
Fractional coordinates of all 5 atoms:
1 Pb 0.000 0.000 0.500
2 Pb 0.500 0.000 0.000
3 Re 0.000 0.000 0.000
4 As 0.500 0.500 0.500
5 F 0.000 0.500 0.000

raw total energy	-25.26	eV/cell
formation energy (no corrections)	224.9	meV per atom
D(E_F)	1.17	states/eV per atom
space-group type	P4/mmm (123)
total moment	0.00	μB/atom

---

Entry from Alexandria: an optimized crystal structure of TlCr2HgSe (PBE-GGA).

Cell lengths 4.857, 6.296, 4.857 Å; angles 90.00, 90.00, 90.00 degrees
Each line ends with the local moment (μB).
Fractional coordinates of all 5 atoms:
1 Cr 0.000 0.000 0.500  4.00
2 Cr 0.500 0.000 0.000  3.91
3 Tl 0.000 0.500 0.000  0.02
4 Hg 0.500 0.500 0.500  0.04
5 Se 0.000 0.000 0.000  -0.07

raw total energy	-22.90	eV/cell
formation energy (no corrections)	500.0	meV per atom
D(E_F)	0.34	states/eV per atom
space-group type	P4/mmm (123)
total moment	1.82	μB/atom

---

Entry from Alexandria: an optimized crystal structure of ThNi4Au (PBE-GGA).

Cell lengths 5.028, 5.028, 5.028 Å; angles 60.00, 60.00, 60.00 degrees
Fractional coordinates of all 6 atoms:
1 Ni 0.626 0.626 0.122
2 Ni 0.626 0.122 0.626
3 Ni 0.626 0.626 0.626
4 Ni 0.122 0.626 0.626
5 Au 0.000 0.000 0.000
6 Th 0.250 0.250 0.250

ΔE_f	-42.1	kJ per mole of atoms
raw total energy	-36.44	eV/cell
D(E_F)	1.30	states/eV per atom
space-group type	F-43m (216)
total moment	0.00	μB/atom

---

Entry from Alexandria: an optimized crystal structure of ScCuNi (PBE-GGA).

Cell lengths 4.228, 4.228, 4.228 Å; angles 60.00, 60.00, 60.00 degrees
Fractional coordinates of all 3 atoms:
1 Cu 0.000 0.000 0.000
2 Ni 0.500 0.500 0.500
3 Sc 0.750 0.750 0.750

ΔE_f	26.0	kJ per mole of atoms
raw total energy	-15.40	eV/cell
D(E_F)	0.79	states/eV per atom
space-group type	F-43m (216)
total moment	0.00	μB/atom

---

Entry from Alexandria: an optimized crystal structure of LiHfAgHg (PBE-GGA).

Cell lengths 4.733, 4.733, 4.733 Å; angles 60.00, 60.00, 60.00 degrees
Fractional coordinates of all 4 atoms:
1 Hf 0.250 0.250 0.250
2 Hg 0.500 0.500 0.500
3 Ag 0.000 0.000 0.000
4 Li 0.750 0.750 0.750

ΔE_f	-7.8	kJ per mole of atoms
raw total energy	-15.35	eV/cell
D(E_F)	0.35	states/eV per atom
space-group type	F-43m (216)
total moment	0.00	μB/atom

---

Entry from Alexandria: an optimized crystal structure of Ca3PmSe4 (PBE-GGA).

Cell lengths 4.191, 7.288, 7.288 Å; angles 109.37, 90.00, 90.00 degrees
Fractional coordinates of all 8 atoms:
1 Ca 0.000 0.000 0.500
2 Ca 0.500 0.500 0.500
3 Ca 0.000 0.500 0.000
4 Pm 0.500 0.000 0.000
5 Se 0.000 0.252 0.252
6 Se 0.500 0.750 0.250
7 Se 0.000 0.748 0.748
8 Se 0.500 0.250 0.750

raw total energy	-40.36	eV/cell
formation energy (no corrections)	-1957.9	meV per atom
D(E_F)	0.32	states/eV per atom
space-group type	Cmmm (65)
total moment	0.00	μB/atom

---

Entry from Alexandria: an optimized crystal structure of TaFeCo3 (PBE-GGA).

Cell lengths 4.176, 4.176, 4.176 Å; angles 90.00, 90.00, 90.00 degrees
Each line ends with the local moment (μB).
Fractional coordinates of all 5 atoms:
1 Co 0.000 0.500 0.000  1.36
2 Co 0.000 0.000 0.500  1.63
3 Co 0.500 0.000 0.000  1.24
4 Fe 0.000 0.000 0.000  2.15
5 Ta 0.500 0.500 0.500  -0.07

ΔE_f	98.7	kJ per mole of atoms
energy relative to the lowest polymorph listed for this composition	15.49	kcal/mol of atoms
raw total energy	-36.52	eV/cell
D(E_F)	2.17	states/eV per atom
space-group type	Pm-3m (221)
total moment	1.24	μB/atom

---

Entry from Alexandria: an optimized crystal structure of Li5Ag7 (PBE-GGA).

Cell lengths 4.584, 5.224, 9.252 Å; angles 88.91, 90.00, 116.03 degrees
Fractional coordinates of all 12 atoms:
1 Li 0.667 0.334 0.508
2 Li 0.333 0.666 0.492
3 Li 0.164 0.328 0.243
4 Li 0.836 0.672 0.757
5 Li 0.000 0.000 0.000
6 Ag 0.491 0.983 0.735
7 Ag 0.509 0.017 0.265
8 Ag 0.826 0.651 0.250
9 Ag 0.174 0.349 0.750
10 Ag 0.660 0.320 0.992
11 Ag 0.000 0.000 0.500
12 Ag 0.340 0.680 0.008

ΔE_f	-15.5	kJ per mole of atoms
energy relative to the lowest polymorph listed for this composition	0.13	kcal/mol of atoms
raw total energy	-31.45	eV/cell
D(E_F)	0.36	states/eV per atom
space-group type	C2/m (12)
total moment	0.00	μB/atom

---

Entry from Alexandria: an optimized crystal structure of Er4BiB3Rh12 (PBE-GGA).

Cell lengths 7.574, 7.574, 7.574 Å; angles 109.47, 109.47, 109.47 degrees
Fractional coordinates of all 20 atoms:
1 Er 0.500 0.500 0.500
2 Er 0.000 0.000 0.500
3 Er 0.500 0.000 0.000
4 Er 0.000 0.500 0.000
5 Bi 0.000 0.000 0.000
6 B 0.500 0.000 0.500
7 B 0.500 0.500 0.000
8 B 0.000 0.500 0.500
9 Rh 0.250 0.500 0.750
10 Rh 0.719 0.000 0.719
11 Rh 0.281 0.000 0.281
12 Rh 0.750 0.500 0.250
13 Rh 0.719 0.719 0.000
14 Rh 0.281 0.281 0.000
15 Rh 0.750 0.250 0.500
16 Rh 0.250 0.750 0.500
17 Rh 0.500 0.250 0.750
18 Rh 0.000 0.719 0.719
19 Rh 0.500 0.750 0.250
20 Rh 0.000 0.281 0.281

ΔE_f	-48.8	kJ per mole of atoms
raw total energy	-140.50	eV/cell
D(E_F)	0.74	states/eV per atom
space-group type	Im-3m (229)
total moment	0.00	μB/atom

---

Entry from Alexandria: an optimized crystal structure of AlCuSn2Pb (PBE-GGA).

Cell lengths 5.884, 5.394, 5.884 Å; angles 90.00, 90.00, 90.00 degrees
Fractional coordinates of all 5 atoms:
1 Pb 0.000 0.000 0.000
2 Sn 0.000 0.000 0.500
3 Sn 0.500 0.000 0.000
4 Cu 0.500 0.500 0.500
5 Al 0.000 0.500 0.000

ΔE_f	111.4	kJ per mole of atoms
raw total energy	-13.78	eV/cell
D(E_F)	0.69	states/eV per atom
space-group type	P4/mmm (123)
total moment	0.00	μB/atom

---

Entry from Alexandria: an optimized crystal structure of Sm4HoBi2 (PBE-GGA).

Cell lengths 5.414, 5.414, 9.362 Å; angles 106.81, 106.81, 90.00 degrees
Fractional coordinates of all 7 atoms:
1 Sm 0.818 0.818 0.637
2 Sm 0.182 0.182 0.363
3 Sm 0.000 0.500 0.000
4 Sm 0.500 0.000 0.000
5 Ho 0.000 0.000 0.000
6 Bi 0.635 0.635 0.269
7 Bi 0.365 0.365 0.731

ΔE_f	19.1	kJ per mole of atoms
raw total energy	-29.83	eV/cell
D(E_F)	0.94	states/eV per atom
space-group type	I4/mmm (139)
total moment	0.00	μB/atom

---

Entry from Alexandria: an optimized crystal structure of TcIrPt (PBE-GGA).

Cell lengths 3.880, 3.880, 6.308 Å; angles 90.02, 90.01, 90.00 degrees
Fractional coordinates of all 6 atoms:
1 Tc 0.750 0.750 0.000
2 Tc 0.250 0.250 0.000
3 Ir 0.750 0.250 0.286
4 Ir 0.250 0.750 0.714
5 Pt 0.750 0.250 0.695
6 Pt 0.250 0.750 0.305

ΔE_f	0.7	kJ per mole of atoms
energy relative to the lowest polymorph listed for this composition	4.08	kcal/mol of atoms
raw total energy	-50.49	eV/cell
D(E_F)	0.67	states/eV per atom
space-group type	P4/nmm (129)
total moment	0.00	μB/atom

---

Entry from Alexandria: an optimized crystal structure of LiFeSCl2 (PBE-GGA).

Cell lengths 4.911, 4.911, 4.161 Å; angles 90.00, 90.00, 90.00 degrees
Fractional coordinates of all 5 atoms:
1 S 0.000 0.000 0.500
2 Li 0.500 0.500 0.500
3 Fe 0.000 0.000 0.000
4 Cl 0.000 0.500 0.000
5 Cl 0.500 0.000 0.000

energy relative to the lowest polymorph listed for this composition	0.00	kcal/mol of atoms
raw total energy	-20.64	eV/cell
formation energy (no corrections)	-487.9	meV per atom
D(E_F)	0.87	states/eV per atom
space-group type	P4/mmm (123)
total moment	0.00	μB/atom

---

Entry from Alexandria: an optimized crystal structure of TlAuSe (PBE-GGA).

Cell lengths 6.524, 5.953, 4.268 Å; angles 77.39, 62.93, 39.68 degrees
Fractional coordinates of all 3 atoms:
1 Au 0.955 0.955 0.045
2 Se 0.377 0.377 0.623
3 Tl 0.668 0.668 0.332

raw total energy	-9.02	eV/cell
formation energy (no corrections)	37.6	meV per atom
D(E_F)	0.38	states/eV per atom
space-group type	Fmm2 (42)
total moment	0.00	μB/atom

---

Entry from Alexandria: an optimized crystal structure of NaZrAs2 (PBE-GGA).

Cell lengths 6.268, 6.268, 8.120 Å; angles 67.30, 67.30, 90.00 degrees
Fractional coordinates of all 8 atoms:
1 Na 0.500 0.500 0.000
2 Na 0.250 0.750 0.500
3 As 0.690 0.125 0.250
4 As 0.060 0.625 0.250
5 As 0.375 0.310 0.750
6 As 0.875 0.940 0.750
7 Zr 0.000 0.000 0.000
8 Zr 0.750 0.250 0.500

ΔE_f	-22.2	kJ per mole of atoms
energy relative to the lowest polymorph listed for this composition	9.70	kcal/mol of atoms
raw total energy	-40.17	eV/cell
D(E_F)	0.79	states/eV per atom
space-group type	I-42d (122)
total moment	0.00	μB/atom

---

Entry from Alexandria: an optimized crystal structure of SrIr2Pd (PBE-GGA).

Cell lengths 4.711, 4.711, 4.711 Å; angles 60.00, 60.00, 60.00 degrees
Each line ends with the local moment (μB).
Fractional coordinates of all 4 atoms:
1 Sr 0.000 0.000 0.000  0.00
2 Ir 0.250 0.250 0.250  0.55
3 Ir 0.750 0.750 0.750  0.55
4 Pd 0.500 0.500 0.500  0.32

ΔE_f	60.7	kJ per mole of atoms
energy relative to the lowest polymorph listed for this composition	9.56	kcal/mol of atoms
raw total energy	-22.08	eV/cell
D(E_F)	1.53	states/eV per atom
space-group type	Fm-3m (225)
total moment	0.36	μB/atom

---

Entry from Alexandria: an optimized crystal structure of VZnAu (PBE-GGA).

Cell lengths 2.732, 4.438, 4.438 Å; angles 120.00, 90.00, 90.00 degrees
Each line ends with the local moment (μB).
Fractional coordinates of all 3 atoms:
1 Zn 0.165 0.667 0.333  0.00
2 Au 0.168 0.000 0.000  0.03
3 V 0.667 0.333 0.667  0.97

ΔE_f	7.7	kJ per mole of atoms
raw total energy	-13.43	eV/cell
D(E_F)	1.23	states/eV per atom
space-group type	P3m1 (156)
total moment	0.37	μB/atom

---

Entry from Alexandria: an optimized crystal structure of KPaTaO6 (PBE-GGA).

Cell lengths 4.923, 5.694, 5.694 Å; angles 120.00, 90.00, 90.00 degrees
Each line ends with the local moment (μB).
Fractional coordinates of all 9 atoms:
1 K 0.500 0.667 0.333  0.00
2 Pa 0.000 0.333 0.667  -0.06
3 Ta 0.500 0.000 0.000  -0.04
4 O 0.739 0.683 0.761  0.16
5 O 0.739 0.239 0.923  0.16
6 O 0.739 0.077 0.317  0.16
7 O 0.261 0.239 0.317  0.16
8 O 0.261 0.683 0.923  0.16
9 O 0.261 0.077 0.761  0.16

raw total energy	-75.86	eV/cell
formation energy (no corrections)	-2629.9	meV per atom
D(E_F)	0.37	states/eV per atom
space-group type	P312 (149)
total moment	0.12	μB/atom

---

Entry from Alexandria: an optimized crystal structure of Y2FeOsPb (PBE-GGA).

Cell lengths 5.649, 4.720, 5.649 Å; angles 90.00, 90.00, 90.00 degrees
Each line ends with the local moment (μB).
Fractional coordinates of all 5 atoms:
1 Pb 0.000 0.000 0.000  0.00
2 Y 0.000 0.000 0.500  -0.19
3 Y 0.500 0.000 0.000  -0.15
4 Os 0.500 0.500 0.500  1.82
5 Fe 0.000 0.500 0.000  2.82

ΔE_f	140.7	kJ per mole of atoms
raw total energy	-29.04	eV/cell
D(E_F)	1.07	states/eV per atom
space-group type	P4/mmm (123)
total moment	0.78	μB/atom